(1)
# ReAg2GeS6

An optimized crystal structure of ReAg2GeS6 (PBE-GGA, OQMD).

Output
uncorrected energy	-4.30	eV/atom

Unit cell a=6.733 b=6.733 c=6.733 alpha=60.00 beta=60.00 gamma=60.00
Fractional positions:
Re 0.000 0.000 0.000
Ag 0.250 0.250 0.250
Ag 0.750 0.750 0.750
Ge 0.500 0.500 0.500
S 0.245 0.245 0.755
S 0.245 0.755 0.245
S 0.245 0.755 0.755
S 0.755 0.245 0.245
S 0.755 0.245 0.755
S 0.755 0.755 0.245



(2)
# ScAgGeTe2S

An optimized crystal structure of ScAgGeTe2S (PBE-GGA, OQMD).

Output
uncorrected energy	-4.53	eV/atom

Unit cell a=7.480 b=7.480 c=9.640 alpha=90.00 beta=90.00 gamma=147.67
Fractional positions:
Sc 0.000 0.000 0.000
Sc 0.000 0.000 0.500
Ag 0.485 0.515 0.750
Ag 0.515 0.485 0.250
Ge 0.241 0.759 0.250
Ge 0.759 0.241 0.750
Te 0.348 0.652 0.547
Te 0.348 0.652 0.953
Te 0.652 0.348 0.047
Te 0.652 0.348 0.453
S 0.080 0.920 0.750
S 0.920 0.080 0.250



(3)
# SrAg2GeSe3S

An optimized crystal structure of SrAg2GeSe3S (PBE-GGA, OQMD).

Output
uncorrected energy	-4.01	eV/atom

Unit cell a=6.415 b=6.443 c=6.468 alpha=103.87 beta=111.26 gamma=113.17
Fractional positions:
Sr 0.000 0.000 0.000
Ag 0.495 0.798 0.312
Ag 0.497 0.201 0.688
Ge 0.009 0.496 0.497
Se 0.000 0.858 0.474
Se 0.001 0.474 0.859
Se 0.615 0.131 0.138
S 0.371 0.514 0.510



Repeat the first record exactly.
# ReAg2GeS6

An optimized crystal structure of ReAg2GeS6 (PBE-GGA, OQMD).

Output
uncorrected energy	-4.30	eV/atom

Unit cell a=6.733 b=6.733 c=6.733 alpha=60.00 beta=60.00 gamma=60.00
Fractional positions:
Re 0.000 0.000 0.000
Ag 0.250 0.250 0.250
Ag 0.750 0.750 0.750
Ge 0.500 0.500 0.500
S 0.245 0.245 0.755
S 0.245 0.755 0.245
S 0.245 0.755 0.755
S 0.755 0.245 0.245
S 0.755 0.245 0.755
S 0.755 0.755 0.245



Question: Look up the uncorrected energy of the third one.
Answer: -4.01 eV/atom